Record 1
KHfTe | GGA-PBE | optimized geometry

```
KHfTe
1.0
0.000 3.782 3.782
3.782 0.000 3.782
3.782 3.782 0.000
Hf Te K
1 1 1
Direct
0.250 0.250 0.250 Hf
0.750 0.750 0.750 Te
0.000 0.000 0.000 K
```

Results
Raw total energy ... -10.83 eV for the cell shown
Spin magnetization ... 1.777 μB/f.u.
Symmetry ... No. 216
Calculated volume ... 108.22 Å³ per cell

***

Record 2
ThBC | GGA-PBE | optimized geometry

```
ThBC
1.0
-0.464 -0.721 -3.678
1.826 -3.280 0.413
-21.917 -11.570 5.032
Th C B
8 8 8
Direct
0.305 0.203 0.570 Th
0.305 0.797 0.930 Th
0.695 0.797 0.070 Th
0.203 0.695 0.320 Th
0.695 0.203 0.430 Th
0.797 0.305 0.820 Th
0.203 0.305 0.180 Th
0.797 0.695 0.680 Th
0.798 0.696 0.582 C
0.304 0.202 0.668 C
0.304 0.798 0.832 C
0.798 0.304 0.918 C
0.696 0.798 0.168 C
0.696 0.202 0.332 C
0.202 0.304 0.082 C
0.202 0.696 0.418 C
0.707 0.157 0.273 B
0.843 0.707 0.523 B
0.293 0.157 0.727 B
0.157 0.293 0.023 B
0.293 0.843 0.773 B
0.707 0.843 0.227 B
0.157 0.707 0.477 B
0.843 0.293 0.977 B
```

Results
Raw total energy ... -197.82 eV for the cell shown
Spin magnetization ... 0.000 μB/f.u.
Symmetry ... No. 91
Calculated volume ... 360.72 Å³ per cell

***

Record 3
Lu2Cd3W4N3 | GGA-PBE | optimized geometry

```
Lu2Cd3W4N3
1.0
0.686 5.206 2.098
-2.899 1.573 4.593
10.844 -6.749 5.753
W Cd N Lu
8 6 6 4
Direct
0.694 0.866 0.567 W
0.866 0.694 0.067 W
0.134 0.306 0.933 W
0.823 0.961 0.933 W
0.961 0.823 0.433 W
0.177 0.039 0.067 W
0.306 0.134 0.433 W
0.039 0.177 0.567 W
0.046 0.954 0.250 Cd
0.880 0.582 0.748 Cd
0.582 0.880 0.248 Cd
0.120 0.418 0.252 Cd
0.418 0.120 0.752 Cd
0.954 0.046 0.750 Cd
0.000 0.500 0.500 N
0.652 0.197 0.500 N
0.803 0.348 0.000 N
0.197 0.652 0.000 N
0.348 0.803 0.500 N
0.500 0.000 0.000 N
0.465 0.626 0.891 Lu
0.535 0.374 0.109 Lu
0.626 0.465 0.391 Lu
0.374 0.535 0.609 Lu
```

Results
Raw total energy ... -184.13 eV for the cell shown
Spin magnetization ... 0.003 μB/f.u.
Symmetry ... No. 15
Calculated volume ... 378.92 Å³ per cell

***

Record 4
Zr2Be2O5 | GGA-PBE | optimized geometry

```
Zr2Be2O5
1.0
-5.716 -0.980 -5.829
2.536 -1.500 -2.235
-0.797 -3.351 1.345
Be O Zr
2 5 2
Direct
0.500 0.000 0.000 Be
0.000 0.000 0.000 Be
0.147 0.000 0.500 O
0.500 0.500 0.500 O
0.147 0.500 0.000 O
0.853 0.500 0.000 O
0.853 0.000 0.500 O
0.251 0.500 0.500 Zr
0.749 0.500 0.500 Zr
```

Results
Raw total energy ... -66.04 eV for the cell shown
Spin magnetization ... 0.005 μB/f.u.
Symmetry ... No. 123
Calculated volume ... 112.43 Å³ per cell

***

Record 5
YHoB4N | GGA-PBE | optimized geometry

```
YHoB4N
1.0
-1.625 3.215 3.743
1.625 -3.215 3.743
1.625 3.215 -3.743
B Ho N Y
4 1 1 1
Direct
0.860 0.499 0.361 B
0.139 0.499 0.639 B
0.272 0.000 0.272 B
0.728 0.000 0.728 B
0.734 0.734 0.000 Ho
0.501 0.001 0.500 N
0.266 0.266 0.000 Y
```

Results
Raw total energy ... -51.84 eV for the cell shown
Spin magnetization ... 0.002 μB/f.u.
Symmetry ... No. 44
Calculated volume ... 78.23 Å³ per cell

***

Record 6
BaInOs | GGA-PBE | optimized geometry

```
BaInOs
1.0
0.706 -3.730 -3.164
-3.018 -3.913 0.080
-3.189 -0.737 -3.703
Os In Ba
1 1 1
Direct
0.000 0.000 0.000 Os
0.750 0.750 0.750 In
0.250 0.250 0.250 Ba
```

Results
Raw total energy ... -13.80 eV for the cell shown
Spin magnetization ... 0.774 μB/f.u.
Symmetry ... No. 216
Calculated volume ... 85.34 Å³ per cell

***

Record 7
Rb2NiI4 | GGA-PBE | optimized geometry

```
Rb2NiI4
1.0
7.616 0.000 0.000
0.000 8.117 0.000
-3.751 0.000 10.006
Rb I Ni
4 8 2
Direct
0.298 0.241 0.458 Rb
0.213 0.240 0.918 Rb
0.702 0.741 0.542 Rb
0.787 0.740 0.082 Rb
0.149 0.749 0.448 I
0.504 0.497 0.769 I
0.496 0.997 0.231 I
0.896 0.247 0.130 I
0.104 0.747 0.870 I
0.489 0.489 0.228 I
0.851 0.249 0.552 I
0.511 0.989 0.772 I
0.279 0.746 0.705 Ni
0.721 0.246 0.295 Ni
```

Results
Raw total energy ... -39.58 eV for the cell shown
Spin magnetization ... 1.997 μB/f.u.
Symmetry ... No. 4
Calculated volume ... 618.54 Å³ per cell

***

Record 8
SmHfO3 | GGA-PBE | optimized geometry

```
SmHfO3
1.0
-2.760 4.781 0.000
2.760 4.781 0.000
0.000 3.187 -5.083
O Hf Sm
6 2 2
Direct
0.166 0.025 0.239 O
0.834 0.975 0.761 O
0.975 0.430 0.761 O
0.025 0.570 0.239 O
0.570 0.166 0.239 O
0.430 0.834 0.761 O
0.155 0.155 0.534 Hf
0.845 0.845 0.466 Hf
0.377 0.377 0.869 Sm
0.623 0.623 0.131 Sm
```

Results
Raw total energy ... -90.77 eV for the cell shown
Spin magnetization ... 0.000 μB/f.u.
Symmetry ... No. 148
Calculated volume ... 134.13 Å³ per cell

***

Record 9
PaAu | GGA-PBE | optimized geometry

```
PaAu
1.0
3.349 0.000 0.000
-1.674 2.900 0.000
0.000 0.000 4.792
Au Pa
1 1
Direct
0.667 0.333 0.750 Au
0.333 0.667 0.250 Pa
```

Results
ΔH_f (0 K) ... -15.37 kJ per mole of atoms
Raw total energy ... -13.08 eV for the cell shown
Spin magnetization ... 0.006 μB/f.u.
Symmetry ... No. 187
Calculated volume ... 46.54 Å³ per cell

***

Record 10
Er3Te2Pb | GGA-PBE | optimized geometry

```
Er3Te2Pb
1.0
-2.194 3.074 6.517
2.194 -3.074 6.517
2.194 3.074 -6.517
Er Te Pb
3 2 1
Direct
0.500 0.000 0.500 Er
0.161 0.661 0.500 Er
0.839 0.339 0.500 Er
0.669 0.669 0.000 Te
0.331 0.331 0.000 Te
0.000 0.000 0.000 Pb
```

Results
Raw total energy ... -29.88 eV for the cell shown
Spin magnetization ... 0.003 μB/f.u.
Symmetry ... No. 71
Calculated volume ... 175.80 Å³ per cell

***

Record 11
SrCdSn2Pd | GGA-PBE | optimized geometry

```
SrCdSn2Pd
1.0
-2.985 -1.339 3.348
3.502 -2.112 2.278
2.158 9.940 5.898
Cd Sn Sr Pd
2 4 2 2
Direct
0.500 0.500 0.000 Cd
0.000 0.000 0.000 Cd
0.500 0.500 0.500 Sn
0.500 0.000 0.156 Sn
0.000 0.500 0.844 Sn
0.000 0.000 0.500 Sn
0.500 0.000 0.738 Sr
0.000 0.500 0.262 Sr
0.500 0.000 0.380 Pd
0.000 0.500 0.620 Pd
```

Results
Raw total energy ... -37.32 eV for the cell shown
Symmetry ... No. 129
Calculated volume ... 257.63 Å³ per cell

***

Record 12
MgTa2Pb3O9 | GGA-PBE | optimized geometry

```
MgTa2Pb3O9
1.0
-0.210 -0.751 -5.643
-4.393 -1.604 3.252
-2.865 6.348 -0.738
Pb Ta O Mg
3 2 9 1
Direct
0.333 0.667 0.661 Pb
0.000 0.000 0.000 Pb
0.667 0.333 0.339 Pb
0.333 0.667 0.179 Ta
0.667 0.333 0.821 Ta
0.169 0.337 0.328 O
0.663 0.831 0.328 O
0.000 0.500 0.000 O
0.831 0.169 0.672 O
0.169 0.831 0.328 O
0.500 0.000 0.000 O
0.500 0.500 0.000 O
0.831 0.663 0.672 O
0.337 0.169 0.672 O
0.000 0.000 0.500 Mg
```

Results
Raw total energy ... -113.60 eV for the cell shown
Spin magnetization ... 0.001 μB/f.u.
Symmetry ... No. 164
Calculated volume ... 196.81 Å³ per cell